# 1
SnPb2Au2 | PBE-GGA | optimized geometry

Calculated values
Its calculated total energy is -17.8 eV per cell. As for the distance to the lowest polymorph of the same formula: 0.108 eV per atom.

Cell lengths 3.8939, 3.8939, 9.2164 Å; angles 77.80, 77.80, 90.00 degrees
Positions (direct):
Pb1 0.3899 0.3899 0.2203
Pb2 0.6101 0.6101 0.7797
Au1 0.7500 0.2500 0.5000
Au2 0.2500 0.7500 0.5000
Sn1 0.0000 0.0000 0.0000

---

# 2
RbTl2Pd2 | PBE-GGA | optimized geometry

Calculated values
Its calculated total energy is -16.8 eV per cell. As for the distance to the lowest polymorph of the same formula: 0.025 eV per atom.

Cell lengths 4.0296, 4.0296, 9.3233 Å; angles 77.52, 77.52, 90.00 degrees
Positions (direct):
Tl1 0.3598 0.3598 0.2804
Tl2 0.6402 0.6402 0.7196
Rb1 0.0000 0.0000 0.0000
Pd1 0.7500 0.2500 0.5000
Pd2 0.2500 0.7500 0.5000

---

# 3
YTm2Hg9 | PBE-GGA | optimized geometry

Calculated values
Its calculated total energy is -21.7 eV per cell.

Cell lengths 4.4849, 4.4849, 14.4083 Å; angles 90.00, 90.00, 90.00 degrees
Positions (direct):
Y1 0.0000 0.0000 0.0000
Tm1 0.0000 0.0000 0.3344
Tm2 0.0000 0.0000 0.6656
Hg1 0.5000 0.5000 0.0000
Hg2 0.5000 0.5000 0.3336
Hg3 0.5000 0.5000 0.6664
Hg4 0.5000 0.0000 0.1685
Hg5 0.5000 0.0000 0.5000
Hg6 0.5000 0.0000 0.8315
Hg7 0.0000 0.5000 0.1685
Hg8 0.0000 0.5000 0.5000
Hg9 0.0000 0.5000 0.8315

---

# 4
ScMn2Ru | PBE-GGA | optimized geometry

Calculated values
Its calculated total energy is -33.1 eV per cell. As for the distance to the lowest polymorph of the same formula: 0.289 eV per atom.

Cell lengths 8.6203, 8.6203, 8.6203 Å; angles 19.04, 19.04, 19.04 degrees
Last column: magnetic moment on the atom in μB.
Positions (direct):
Mn1 0.9934 0.9934 0.9934  -2.28
Mn2 0.2523 0.2523 0.2523  2.89
Ru1 0.5055 0.5055 0.5055  0.09
Sc1 0.7488 0.7488 0.7488  0.24

---

# 5
Cs2HgHAu | PBE-GGA | optimized geometry

Calculated values
Its calculated total energy is -19.2 eV per cell. As for the distance to the lowest polymorph of the same formula: 0.000 eV per atom.

Cell lengths 4.8061, 8.4860, 8.9734 Å; angles 106.81, 90.00, 90.00 degrees
Positions (direct):
Cs1 0.7500 0.8808 0.6393
Cs2 0.7500 0.7441 0.0201
Cs3 0.2500 0.1192 0.3607
Cs4 0.2500 0.2559 0.9799
Hg1 0.2500 0.5374 0.6478
Hg2 0.7500 0.4626 0.3522
H1 0.2500 0.8729 0.8521
H2 0.7500 0.1271 0.1479
Au1 0.2500 0.6640 0.3216
Au2 0.7500 0.3360 0.6784

---

# 6
Ce3Ge3Pd | PBE-GGA | optimized geometry

Calculated values
Its calculated total energy is -80.9 eV per cell.

Cell lengths 5.8684, 8.5672, 8.5682 Å; angles 119.95, 90.00, 90.00 degrees
Last column: magnetic moment on the atom in μB.
Positions (direct):
Ce1 0.2500 0.6114 0.6831  0.10
Ce2 0.2500 0.0709 0.3874  0.11
Ce3 0.2500 0.3160 0.9283  0.10
Ce4 0.7500 0.3886 0.3169  0.10
Ce5 0.7500 0.9291 0.6126  0.11
Ce6 0.7500 0.6840 0.0717  0.10
Ge1 0.7500 0.6503 0.7148  -0.01
Ge2 0.7500 0.0652 0.3505  -0.01
Ge3 0.7500 0.2860 0.9358  -0.01
Ge4 0.2500 0.3497 0.2852  -0.01
Ge5 0.2500 0.9348 0.6495  -0.01
Ge6 0.2500 0.7140 0.0642  -0.01
Pd1 0.7500 0.3337 0.6669  -0.01
Pd2 0.2500 0.6663 0.3331  -0.01

---

# 7
Cs2Hg3Au | PBE-GGA | optimized geometry

Calculated values
Its calculated total energy is -7.5 eV per cell. As for the distance to the lowest polymorph of the same formula: 0.003 eV per atom.

Cell lengths 5.2923, 7.2611, 7.2594 Å; angles 84.91, 68.62, 68.63 degrees
Positions (direct):
Cs1 0.5007 0.2459 0.7528
Cs2 0.4978 0.7556 0.2488
Hg1 0.8519 0.6462 0.6500
Hg2 0.8178 0.1842 0.1801
Hg3 0.1640 0.8347 0.8374
Au1 0.1678 0.3334 0.3310

---

# 8
Dy2ZnGa9 | PBE-GGA | optimized geometry

Calculated values
Its calculated total energy is -41.6 eV per cell.

Cell lengths 4.2723, 4.2723, 12.4529 Å; angles 90.00, 90.00, 90.00 degrees
Positions (direct):
Dy1 0.0000 0.0000 0.3273
Dy2 0.0000 0.0000 0.6727
Zn1 0.0000 0.0000 0.0000
Ga1 0.5000 0.5000 0.0000
Ga2 0.5000 0.5000 0.3366
Ga3 0.5000 0.5000 0.6634
Ga4 0.5000 0.0000 0.1497
Ga5 0.5000 0.0000 0.5000
Ga6 0.5000 0.0000 0.8503
Ga7 0.0000 0.5000 0.1497
Ga8 0.0000 0.5000 0.5000
Ga9 0.0000 0.5000 0.8503

---

# 9
Y2Ga4IrPd3 | PBE-GGA | optimized geometry

Calculated values
Its calculated total energy is -57.2 eV per cell.

Cell lengths 4.1770, 4.1770, 10.6559 Å; angles 90.00, 90.00, 90.00 degrees
Positions (direct):
Y1 0.5000 0.0000 0.2592
Y2 0.0000 0.5000 0.7408
Ga1 0.5000 0.5000 0.0000
Ga2 0.0000 0.0000 0.0000
Ga3 0.5000 0.0000 0.6304
Ga4 0.0000 0.5000 0.3696
Ir1 0.5000 0.5000 0.5000
Pd1 0.0000 0.0000 0.5000
Pd2 0.5000 0.0000 0.8622
Pd3 0.0000 0.5000 0.1378